(1)
MnTe2Au PBE optimized geometry; formation energy (no corrections) = -12 meV per atom
1.0
1.9226 -12.5446 0.0000
1.9226 12.5446 0.0000
0.0000 0.0000 4.3108
Mn Te Au
2 4 2
Direct
0.1801 0.8199 0.7500
0.8199 0.1801 0.2500
0.2925 0.7075 0.7500
0.4021 0.5979 0.2500
0.5979 0.4021 0.7500
0.7075 0.2925 0.2500
0.4659 0.5341 0.7500
0.5341 0.4659 0.2500

---

(2)
Ce6IrRh3 PBE optimized geometry; formation energy from the elements = -0.55 eV/atom
1.0
11.6964 0.0000 0.0000
0.0000 3.9106 0.0000
-4.4381 0.0000 10.8421
Ce Ir Rh
12 2 6
Direct
0.0331 0.2500 0.4222
0.1258 0.2500 0.9742
0.2223 0.7500 0.2688
0.2232 0.7500 0.7511
0.4046 0.2500 0.5652
0.4303 0.7500 0.1119
0.5697 0.2500 0.8881
0.5954 0.7500 0.4348
0.7768 0.2500 0.2489
0.7777 0.2500 0.7312
0.8742 0.7500 0.0258
0.9669 0.7500 0.5778
0.4128 0.2500 0.3072
0.5872 0.7500 0.6928
0.0249 0.2500 0.1718
0.2182 0.7500 0.5072
0.3425 0.2500 0.9197
0.6575 0.7500 0.0803
0.7818 0.2500 0.4928
0.9751 0.7500 0.8282

---

(3)
Ca2LaPd2 PBE optimized geometry; formation energy from the elements = -0.55 eV/atom
1.0
2.1597 -13.5551 0.0000
2.1597 13.5551 0.0000
0.0000 0.0000 4.5387
Ca La Pd
4 2 4
Direct
0.0511 0.9489 0.7500
0.2505 0.7495 0.2500
0.7495 0.2505 0.7500
0.9489 0.0511 0.2500
0.3649 0.6351 0.7500
0.6351 0.3649 0.2500
0.1700 0.8300 0.7500
0.4682 0.5318 0.7500
0.5318 0.4682 0.2500
0.8300 0.1700 0.2500

---

no.,total moment (μB/f.u.),calculated total energy (eV per cell)
1,4.010,-37.56
2,3.200,-144.04
3,0.000,-44.13